Entry P
DFT (PBE-GGA) results for an optimized crystal structure of B2O3F.

Computed properties:
SG	P2_1/m (11)
N(E_F)	2.406	states/eV/f.u.

```
data_B2O3F
_symmetry_space_group_name_H-M 'P 1'
_symmetry_Int_Tables_number 1
_symmetry_space_group_name_Hall 'P 1'
_cell_length_a 5.1143
_cell_length_b 2.3740
_cell_length_c 11.6104
_cell_angle_alpha 90.00
_cell_angle_beta 102.24
_cell_angle_gamma 90.00
loop_
_atom_site_label
_atom_site_fract_x
_atom_site_fract_y
_atom_site_fract_z
B1 0.0974 0.2500 0.3673
B2 0.1768 0.7500 0.8555
B3 0.8232 0.2500 0.1445
B4 0.9026 0.7500 0.6327
O1 0.1124 0.7500 0.7313
O2 0.1884 0.7500 0.4202
O3 0.2108 0.2500 0.9147
O4 0.7892 0.7500 0.0853
O5 0.8116 0.2500 0.5798
O6 0.8876 0.2500 0.2687
F1 0.3459 0.7500 0.2000
F2 0.6541 0.2500 0.8000
```

=====

Entry Q
DFT (PBE-GGA) results for an optimized crystal structure of B2O3F.

Computed properties:
SG	P1 (1)
N(E_F)	0.606	states/eV/f.u.

```
data_B2O3F
_symmetry_space_group_name_H-M 'P 1'
_symmetry_Int_Tables_number 1
_symmetry_space_group_name_Hall 'P 1'
_cell_length_a 4.2738
_cell_length_b 4.9960
_cell_length_c 7.6857
_cell_angle_alpha 103.38
_cell_angle_beta 105.84
_cell_angle_gamma 91.36
loop_
_atom_site_label
_atom_site_fract_x
_atom_site_fract_y
_atom_site_fract_z
B1 0.0000 0.0000 0.0000
B2 0.0831 0.5864 0.4487
B3 0.5382 0.0000 0.9998
B4 0.6268 0.4151 0.5472
O1 0.2275 0.1118 0.9088
O2 0.3109 0.8883 0.0910
O3 0.3983 0.5512 0.4478
O4 0.7094 0.8153 0.8879
O5 0.8292 0.1848 0.1117
O6 0.9452 0.4516 0.5492
F1 0.5537 0.2328 0.6369
F2 0.9304 0.7662 0.3574
```

=====

Relative energies, meV/atom: entry P 123; entry Q 0.

=====

Entry P
DFT (PBE-GGA) results for an optimized crystal structure of BO2F.

Computed properties:
SG	Fm-3m (225)
N(E_F)	1.521	states/eV/f.u.

```
data_BO2F
_symmetry_space_group_name_H-M 'P 1'
_symmetry_Int_Tables_number 1
_symmetry_space_group_name_Hall 'P 1'
_cell_length_a 3.4835
_cell_length_b 3.4835
_cell_length_c 3.4835
_cell_angle_alpha 60.00
_cell_angle_beta 60.00
_cell_angle_gamma 60.00
loop_
_atom_site_label
_atom_site_fract_x
_atom_site_fract_y
_atom_site_fract_z
B1 0.0000 0.0000 0.0000
O1 0.2500 0.2500 0.2500
O2 0.7500 0.7500 0.7500
F1 0.5000 0.5000 0.5000
```

=====

Entry Q
DFT (PBE-GGA) results for an optimized crystal structure of BO2F.

Computed properties:
SG	I-42d (122)
N(E_F)	1.755	states/eV/f.u.

```
data_BO2F
_symmetry_space_group_name_H-M 'P 1'
_symmetry_Int_Tables_number 1
_symmetry_space_group_name_Hall 'P 1'
_cell_length_a 4.6623
_cell_length_b 4.6623
_cell_length_c 4.6623
_cell_angle_alpha 122.44
_cell_angle_beta 122.44
_cell_angle_gamma 85.83
loop_
_atom_site_label
_atom_site_fract_x
_atom_site_fract_y
_atom_site_fract_z
B1 0.0000 0.0000 0.0000
B2 0.7500 0.2500 0.5000
O1 0.3750 0.2148 0.3398
O2 0.7852 0.1250 0.1602
O3 0.8750 0.0352 0.6602
O4 0.9648 0.6250 0.8398
F1 0.2500 0.7500 0.5000
F2 0.5000 0.5000 0.0000
```

=====

Relative energies, meV/atom: entry P 2273; entry Q 0.

=====

Entry P
DFT (PBE-GGA) results for an optimized crystal structure of BP2OF.

Computed properties:
SG	P4/mmm (123)
N(E_F)	3.196	states/eV/f.u.

```
data_BP2OF
_symmetry_space_group_name_H-M 'P 1'
_symmetry_Int_Tables_number 1
_symmetry_space_group_name_Hall 'P 1'
_cell_length_a 4.9140
_cell_length_b 4.9140
_cell_length_c 2.6516
_cell_angle_alpha 90.00
_cell_angle_beta 90.00
_cell_angle_gamma 90.00
loop_
_atom_site_label
_atom_site_fract_x
_atom_site_fract_y
_atom_site_fract_z
B1 0.0000 0.0000 0.0000
P1 0.0000 0.5000 0.0000
P2 0.5000 0.0000 0.0000
O1 0.0000 0.0000 0.5000
F1 0.5000 0.5000 0.5000
```

=====

Entry Q
DFT (PBE-GGA) results for an optimized crystal structure of BP2OF.

Computed properties:
SG	P4/mmm (123)
N(E_F)	2.577	states/eV/f.u.

```
data_BP2OF
_symmetry_space_group_name_H-M 'P 1'
_symmetry_Int_Tables_number 1
_symmetry_space_group_name_Hall 'P 1'
_cell_length_a 4.0201
_cell_length_b 4.0201
_cell_length_c 4.3055
_cell_angle_alpha 90.00
_cell_angle_beta 90.00
_cell_angle_gamma 90.00
loop_
_atom_site_label
_atom_site_fract_x
_atom_site_fract_y
_atom_site_fract_z
B1 0.0000 0.0000 0.0000
P1 0.0000 0.5000 0.5000
P2 0.5000 0.0000 0.5000
O1 0.5000 0.5000 0.0000
F1 0.5000 0.5000 0.5000
```

=====

Relative energies, meV/atom: entry P 0; entry Q 1529.

=====

Entry P
DFT (PBE-GGA) results for an optimized crystal structure of BPbOF2.

Computed properties:
SG	P4/mmm (123)
N(E_F)	0.868	states/eV/f.u.

```
data_BPbOF2
_symmetry_space_group_name_H-M 'P 1'
_symmetry_Int_Tables_number 1
_symmetry_space_group_name_Hall 'P 1'
_cell_length_a 4.6328
_cell_length_b 4.6328
_cell_length_c 4.2902
_cell_angle_alpha 90.00
_cell_angle_beta 90.00
_cell_angle_gamma 90.00
loop_
_atom_site_label
_atom_site_fract_x
_atom_site_fract_y
_atom_site_fract_z
B1 0.0000 0.0000 0.0000
Pb1 0.5000 0.5000 0.5000
O1 0.5000 0.5000 0.0000
F1 0.0000 0.5000 0.5000
F2 0.5000 0.0000 0.5000
```

=====

Entry Q
DFT (PBE-GGA) results for an optimized crystal structure of BPbOF2.

Computed properties:
SG	P4/mmm (123)
N(E_F)	1.948	states/eV/f.u.

```
data_BPbOF2
_symmetry_space_group_name_H-M 'P 1'
_symmetry_Int_Tables_number 1
_symmetry_space_group_name_Hall 'P 1'
_cell_length_a 4.7286
_cell_length_b 4.7286
_cell_length_c 2.7745
_cell_angle_alpha 90.00
_cell_angle_beta 90.00
_cell_angle_gamma 90.00
loop_
_atom_site_label
_atom_site_fract_x
_atom_site_fract_y
_atom_site_fract_z
B1 0.0000 0.0000 0.0000
Pb1 0.5000 0.5000 0.5000
O1 0.0000 0.0000 0.5000
F1 0.0000 0.5000 0.0000
F2 0.5000 0.0000 0.0000
```

=====

Relative energies, meV/atom: entry P 1041; entry Q 0.

=====

Entry P
DFT (PBE-GGA) results for an optimized crystal structure of BPdOF2.

Computed properties:
SG	P4/mmm (123)
N(E_F)	2.233	states/eV/f.u.

```
data_BPdOF2
_symmetry_space_group_name_H-M 'P 1'
_symmetry_Int_Tables_number 1
_symmetry_space_group_name_Hall 'P 1'
_cell_length_a 4.2624
_cell_length_b 4.2624
_cell_length_c 3.8534
_cell_angle_alpha 90.00
_cell_angle_beta 90.00
_cell_angle_gamma 90.00
loop_
_atom_site_label
_atom_site_fract_x
_atom_site_fract_y
_atom_site_fract_z
B1 0.0000 0.0000 0.0000
Pd1 0.5000 0.5000 0.5000
O1 0.5000 0.5000 0.0000
F1 0.0000 0.5000 0.5000
F2 0.5000 0.0000 0.5000
```

=====

Entry Q
DFT (PBE-GGA) results for an optimized crystal structure of BPdOF2.

Computed properties:
SG	P4/mmm (123)
N(E_F)	3.365	states/eV/f.u.

```
data_BPdOF2
_symmetry_space_group_name_H-M 'P 1'
_symmetry_Int_Tables_number 1
_symmetry_space_group_name_Hall 'P 1'
_cell_length_a 4.3940
_cell_length_b 4.3940
_cell_length_c 2.6404
_cell_angle_alpha 90.00
_cell_angle_beta 90.00
_cell_angle_gamma 90.00
loop_
_atom_site_label
_atom_site_fract_x
_atom_site_fract_y
_atom_site_fract_z
B1 0.0000 0.0000 0.0000
Pd1 0.5000 0.5000 0.5000
O1 0.0000 0.0000 0.5000
F1 0.0000 0.5000 0.0000
F2 0.5000 0.0000 0.0000
```

=====

Relative energies, meV/atom: entry P 1272; entry Q 0.

=====

Entry P
DFT (PBE-GGA) results for an optimized crystal structure of ReBOF2.

Computed properties:
SG	P4/mmm (123)
N(E_F)	1.905	states/eV/f.u.

```
data_ReBOF2
_symmetry_space_group_name_H-M 'P 1'
_symmetry_Int_Tables_number 1
_symmetry_space_group_name_Hall 'P 1'
_cell_length_a 4.6949
_cell_length_b 4.6949
_cell_length_c 2.5793
_cell_angle_alpha 90.00
_cell_angle_beta 90.00
_cell_angle_gamma 90.00
loop_
_atom_site_label
_atom_site_fract_x
_atom_site_fract_y
_atom_site_fract_z
Re1 0.0000 0.0000 0.0000
B1 0.5000 0.5000 0.5000
O1 0.5000 0.5000 0.0000
F1 0.0000 0.5000 0.5000
F2 0.5000 0.0000 0.5000
```

=====

Entry Q
DFT (PBE-GGA) results for an optimized crystal structure of ReBOF2.

Computed properties:
SG	P4/mmm (123)
N(E_F)	3.589	states/eV/f.u.

```
data_ReBOF2
_symmetry_space_group_name_H-M 'P 1'
_symmetry_Int_Tables_number 1
_symmetry_space_group_name_Hall 'P 1'
_cell_length_a 4.1854
_cell_length_b 4.1854
_cell_length_c 3.7818
_cell_angle_alpha 90.00
_cell_angle_beta 90.00
_cell_angle_gamma 90.00
loop_
_atom_site_label
_atom_site_fract_x
_atom_site_fract_y
_atom_site_fract_z
Re1 0.0000 0.0000 0.0000
B1 0.5000 0.5000 0.5000
O1 0.0000 0.0000 0.5000
F1 0.0000 0.5000 0.0000
F2 0.5000 0.0000 0.0000
```

=====

Relative energies, meV/atom: entry P 0; entry Q 269.